No. 1
8
Lattice="-0.364 -4.085 -2.843 0.116 -2.857 4.090 -5.386 -3.226 0.944" Properties=species:S:1:pos:R:3 comment="SrOsN2 (PBE, optimized geometry)" de_polymorph_mev_per_atom=39.0 e_tot_ev_per_atom=-7.517 pbc="T T T"
Sr -2.697 -4.777 2.829
Sr -0.124 -3.471 0.624
Os 0.000 0.000 0.000
Os -2.937 -5.391 -0.637
N -4.146 -4.687 0.695
N -1.602 -4.197 -1.364
N -4.242 -8.829 2.280
N -1.277 -2.622 2.771

---

No. 2
56
Lattice="6.751 0.000 0.000 0.000 12.036 0.000 0.000 0.000 14.030" Properties=species:S:1:pos:R:3 comment="Sr7OsN6 (PBE, optimized geometry)" e_tot_ev_per_atom=-5.667 pbc="T T T"
Sr 1.812 0.413 6.783
Sr 6.257 6.018 10.523
Sr 2.518 8.623 12.299
Sr 5.894 9.431 12.299
Sr 6.010 9.454 1.708
Sr 2.634 8.601 1.708
Sr 4.233 3.413 1.731
Sr 1.564 6.431 7.247
Sr 4.117 3.436 12.322
Sr 2.881 0.000 10.523
Sr 6.010 2.582 5.307
Sr 0.741 2.582 12.322
Sr 5.187 6.431 0.232
Sr 3.870 0.000 3.508
Sr 1.564 5.605 13.799
Sr 0.857 9.431 5.284
Sr 0.741 9.454 8.723
Sr 2.518 3.413 8.747
Sr 0.495 6.018 3.508
Sr 0.857 2.605 1.731
Sr 4.233 8.623 5.284
Sr 2.634 3.436 5.307
Sr 4.940 0.413 13.799
Sr 4.117 8.601 8.723
Sr 4.940 11.623 7.247
Sr 5.187 5.605 6.783
Sr 5.894 2.605 8.747
Sr 1.812 11.623 0.232
N 1.619 10.593 2.906
N 5.132 1.443 11.124
N 2.746 10.019 6.965
N 2.790 6.375 5.027
N 5.132 10.593 9.921
N 0.586 11.680 12.042
N 6.165 0.357 1.988
N 4.005 2.018 7.066
N 0.586 0.357 9.003
N 4.995 7.461 2.906
N 6.165 11.680 5.027
N 4.995 4.575 4.109
N 1.756 4.575 11.124
N 1.619 1.443 4.109
N 2.790 5.661 1.988
N 0.630 8.036 13.980
N 2.746 2.018 0.051
N 3.962 5.661 9.003
N 6.121 4.001 0.051
N 6.121 8.036 6.965
N 0.630 4.001 7.066
N 3.962 6.375 12.042
N 4.005 10.019 13.980
N 1.756 7.461 9.921
Os 6.223 0.000 10.523
Os 0.528 0.000 3.508
Os 3.904 6.018 3.508
Os 2.848 6.018 10.523

---

No. 3
8
Lattice="-4.485 1.667 -1.516 -1.803 -0.629 4.642 -1.414 6.524 3.049" Properties=species:S:1:pos:R:3 comment="SrOs2N (PBE, optimized geometry)" e_tot_ev_per_atom=-7.499 pbc="T T T"
Os -6.112 5.959 3.861
Os -2.261 2.178 0.774
Os -3.870 5.125 4.619
Os -3.162 1.863 3.095
N -3.144 0.519 1.563
N -3.181 3.207 4.627
Sr 0.000 0.000 0.000
Sr -4.522 4.355 1.548

---

No. 4
26
Lattice="-1.717 -1.743 5.821 1.560 -4.533 -5.146 12.876 2.387 1.801" Properties=species:S:1:pos:R:3 comment="Sr5Os2N6 (PBE, optimized geometry)" e_tot_ev_per_atom=-6.697 pbc="T T T"
Sr 6.008 -3.371 2.482
Sr 6.711 -0.519 -0.006
Sr 3.943 -4.784 -0.362
Sr 10.068 -2.681 1.572
Sr -1.179 -2.386 4.053
Sr 13.898 -1.503 -1.578
Sr 2.651 -1.209 0.904
Sr 10.267 0.019 -0.660
Sr 8.776 0.895 2.837
Sr 4.170 -2.165 -2.685
N 4.666 0.676 1.304
N 6.919 -0.838 3.061
N 11.262 1.412 1.685
N 12.165 -1.646 0.557
N 3.904 -1.759 3.189
N 5.800 -3.052 -0.586
N 8.053 -4.566 1.172
N 2.229 -2.894 -1.126
N 8.815 -2.131 -0.713
N 0.554 -2.244 1.919
N 10.490 -0.996 3.601
N 1.457 -5.302 0.790
Os 11.865 -0.041 2.708
Os 7.592 -3.528 -0.322
Os 0.854 -3.849 -0.232
Os 5.127 -0.362 2.797

---

No. 5
19
Lattice="-0.744 3.299 -4.168 -7.547 -0.735 0.765 2.812 5.805 7.550" Properties=species:S:1:pos:R:3 comment="Sr8Os3N8 (PBE, optimized geometry)" e_tot_ev_per_atom=-6.541 pbc="T T T"
N 0.458 1.493 1.100
N -5.937 6.877 3.047
N -3.084 6.551 5.736
N -5.572 4.323 0.961
N 0.094 4.047 3.187
N -2.395 1.819 -1.588
N -2.461 2.308 2.266
N -3.018 6.063 1.882
Sr -7.068 2.459 -0.248
Sr -0.420 5.949 1.328
Sr -1.841 0.175 0.467
Sr 1.590 5.911 4.396
Sr -3.111 3.786 0.096
Sr -2.367 4.585 4.052
Sr -5.059 2.421 2.819
Sr -3.637 8.195 3.681
Os -4.145 1.282 -1.701
Os -4.850 5.749 1.961
Os -0.628 2.621 2.187

---

No. 6
14
Lattice="5.412 0.000 0.000 0.000 6.898 -1.353 0.000 -0.042 7.031" Properties=species:S:1:pos:R:3 comment="Sr3OsN3 (PBE, optimized geometry)" de_polymorph_mev_per_atom=0.0 e_tot_ev_per_atom=-6.456 pbc="T T T"
N 1.353 0.832 5.971
N 1.353 3.876 5.016
N 1.353 1.210 2.802
N 4.059 2.980 0.661
N 4.059 5.646 2.875
N 4.059 6.024 -0.294
Os 4.059 4.788 1.197
Os 1.353 2.068 4.480
Sr 4.059 4.038 5.011
Sr 1.353 5.670 3.034
Sr 1.353 6.156 -0.457
Sr 1.353 2.818 0.666
Sr 4.059 0.700 6.134
Sr 4.059 1.186 2.643

---

No. 7
16
Lattice="7.751 0.000 0.000 0.000 5.189 0.000 0.000 2.141 6.103" Properties=species:S:1:pos:R:3 comment="SrOsN2 (PBE, optimized geometry)" de_polymorph_mev_per_atom=0.0 e_tot_ev_per_atom=-7.556 pbc="T T T"
N 0.702 5.071 1.166
N 2.342 6.284 4.163
N 5.409 1.045 1.941
N 3.173 2.476 1.166
N 7.049 2.259 4.937
N 1.534 3.690 4.162
N 4.578 4.853 4.937
N 6.218 3.640 1.941
Os 2.602 4.665 5.342
Os 5.149 2.665 0.762
Os 1.274 2.070 5.341
Os 6.478 5.259 0.762
Sr 7.001 4.897 4.111
Sr 3.126 5.026 1.993
Sr 4.626 2.303 4.111
Sr 0.750 2.432 1.992

---

No. 8
4
Lattice="0.000 2.893 2.893 2.893 0.000 2.893 2.893 2.893 0.000" Properties=species:S:1:pos:R:3 comment="SrOsN2 (PBE, optimized geometry)" de_polymorph_mev_per_atom=1144.3 e_tot_ev_per_atom=-6.412 pbc="T T T"
N 1.446 1.446 1.446
N 4.339 4.339 4.339
Sr 0.000 0.000 0.000
Os 2.893 2.893 2.893

---

No. 9
4
Lattice="-6.164 -0.268 1.232 -4.756 -3.036 2.783 -4.587 0.079 4.305" Properties=species:S:1:pos:R:3 comment="SrOsN2 (PBE, optimized geometry)" de_polymorph_mev_per_atom=768.0 e_tot_ev_per_atom=-6.788 pbc="T T T"
Os -7.754 -1.613 4.160
Sr 0.000 0.000 0.000
N -13.458 -2.799 7.220
N -2.050 -0.426 1.100

---

No. 10
24
Lattice="-0.628 -5.435 0.477 4.578 -3.525 -2.523 6.037 -0.811 10.932" Properties=species:S:1:pos:R:3 comment="Sr2OsN3 (PBE, optimized geometry)" e_tot_ev_per_atom=-7.026 pbc="T T T"
Sr 4.390 -1.921 5.788
Sr 2.686 -1.633 0.562
Sr 6.362 -4.916 5.718
Sr 3.626 -4.854 3.169
Sr 5.597 -7.850 3.099
Sr 6.178 -5.084 9.879
Sr 7.302 -8.138 8.325
Sr 3.810 -4.687 -0.993
Os 0.626 -4.040 2.197
Os 8.145 -7.957 5.184
Os 9.362 -5.731 6.689
Os 1.843 -1.814 3.702
N 6.082 -3.727 0.213
N 3.638 -2.168 3.266
N 6.349 -7.603 5.620
N 1.951 -4.201 0.872
N 8.036 -5.570 8.015
N 3.497 -7.460 -1.151
N 4.603 -6.252 1.109
N 6.491 -2.310 10.037
N 5.384 -3.519 7.777
N 6.258 -5.134 3.060
N 3.906 -6.044 8.673
N 3.730 -4.637 5.826

---

No. 11
18
Lattice="-5.015 -5.266 -0.824 8.517 0.265 -3.212 1.899 -2.152 4.858" Properties=species:S:1:pos:R:3 comment="Sr3Os2N4 (PBE, optimized geometry)" e_tot_ev_per_atom=-6.921 pbc="T T T"
N 4.626 -1.798 -2.178
N 0.741 -4.250 0.226
N 0.775 -5.355 3.000
N 7.797 -2.135 -0.655
N 1.407 -1.229 -1.033
N 4.660 -2.903 0.596
N 3.993 -5.924 1.855
N -2.396 -5.017 1.477
Sr 6.520 -1.456 1.722
Sr -1.881 -6.056 4.025
Sr 1.955 -2.369 1.592
Sr 3.446 -4.784 -0.770
Sr 7.282 -1.097 -3.203
Sr 3.896 -0.432 -0.075
Os 5.880 -2.797 -1.040
Os 0.876 -3.208 -1.436
Os -0.479 -4.355 1.862
Os 4.525 -3.945 2.258

---

No. 12
14
Lattice="5.983 0.000 0.000 0.000 5.886 -1.318 0.000 -0.718 7.241" Properties=species:S:1:pos:R:3 comment="Sr2OsN4 (PBE, optimized geometry)" e_tot_ev_per_atom=-7.303 pbc="T T T"
Os 1.496 3.791 4.787
Os 4.487 1.377 1.136
N 5.920 2.466 1.293
N 2.929 2.703 4.630
N 1.496 5.075 3.517
N 4.487 -0.109 6.754
N 1.496 5.277 -0.831
N 4.487 0.093 2.406
N 3.054 2.466 1.293
N 0.062 2.703 4.630
Sr 1.496 0.952 2.861
Sr 1.496 1.065 6.617
Sr 4.487 4.216 3.061
Sr 4.487 4.103 -0.694

---

| no. | V (Å³ per cell) | M_tot (μB per cell) | E_form (uncorrected) (eV/f.u.) |
| --- | --- | --- | --- |
| 1 | 131.4 | 0.0 | -0.5 |
| 2 | 1140.1 | 0.0 | -6.4 |
| 3 | 161.8 | 0.0 | 2.5 |
| 4 | 474.8 | 0.0 | -6.2 |
| 5 | 376.5 | 1.0 | -10.5 |
| 6 | 262.1 | 0.8 | -3.9 |
| 7 | 245.4 | 0.0 | -0.7 |
| 8 | 48.4 | 0.0 | 3.9 |
| 9 | 62.2 | 0.0 | 2.4 |
| 10 | 388.6 | 0.0 | -2.6 |
| 11 | 293.7 | 0.0 | -1.5 |
| 12 | 249.3 | 0.0 | -3.2 |